--- A ---
Below is crystalline Na2Tl2In15 at its relaxed geometry, with properties calculated at the PBE level.

The structure belongs to space group R-3m (No. 166, hexagonal axes); the cell edges are 10.8505, 10.8505 and 16.2314 Å and the angles 90.00°, 90.00° and 120.00°. Symmetry generates all atoms from Na at (0.0000, 0.0000, 0.1104), Tl at (0.0000, 0.0000, 0.3716), In at (0.0000, 0.2974, 0.0000), In at (0.0000, 0.5000, 0.5000) and In at (0.0103, 0.5052, 0.1406).

The density of states at the Fermi level comes out at 0.4140 states/eV per atom.

---

--- B ---
Below is crystalline Na2Tl2In15 at its relaxed geometry, with properties calculated at the PBE level.

The structure belongs to space group R-3m (No. 166, hexagonal axes); the cell edges are 9.8771, 9.8771 and 19.3841 Å and the angles 90.00°, 90.00° and 120.00°. Symmetry generates all atoms from Na at (0.0000, 0.0000, 0.2103), Tl at (0.0000, 0.0000, 0.4032), In at (0.0000, 0.3056, 0.5000), In at (0.0000, 0.5000, 0.0000) and In at (0.0550, 0.5275, 0.6193).

The density of states at the Fermi level comes out at 0.3913 states/eV per atom.

---

Verdict on stability: A comes out at the bottom.

---

--- A ---
Below is crystalline Na2Tl5In3 at its relaxed geometry, with properties calculated at the PBE level.

The structure belongs to space group P-1 (No. 2); the cell edges are 5.0386, 6.4350 and 10.2514 Å and the angles 92.56°, 90.31° and 112.60°. Symmetry generates all atoms from Na at (0.0498, 0.1040, 0.2846), Tl at (0.1607, 0.3196, 0.9745), Tl at (0.3339, 0.6727, 0.2442), Tl at (0.5000, 0.0000, 0.5000), In at (0.2455, 0.4920, 0.5972) and In at (0.5000, 0.0000, 0.0000).

The density of states at the Fermi level comes out at 0.4071 states/eV per atom.

---

--- B ---
Below is crystalline Na2Tl5In3 at its relaxed geometry, with properties calculated at the PBE level.

The structure belongs to space group Ibam (No. 72); the cell edges are 13.5167, 13.8468 and 6.9179 Å and the angles 90.00°, 90.00° and 90.00°. Symmetry generates all atoms from Na at (0.2330, 0.1322, 0.0000), Tl at (0.0000, 0.0000, 0.2500), Tl at (0.0000, 0.2587, 0.2500), Tl at (0.1510, 0.3901, 0.0000), In at (0.0000, 0.5000, 0.2500) and In at (0.1351, 0.1299, 0.5000).

The density of states at the Fermi level comes out at 0.4202 states/eV per atom.

---

Verdict on stability: B comes out at the bottom.

---

--- A ---
Below is crystalline NaTmTlIn at its relaxed geometry, with properties calculated at the PBE level.

The structure belongs to space group F-43m (No. 216); the cell edges are 7.4753, 7.4753 and 7.4753 Å and the angles 90.00°, 90.00° and 90.00°. Symmetry generates all atoms from Na at (0.0000, 0.0000, 0.0000), Tm at (0.0000, 0.0000, 0.5000), Tl at (0.2500, 0.2500, 0.2500) and In at (0.2500, 0.2500, 0.7500).

The density of states at the Fermi level comes out at 0.4238 states/eV per atom.

---

--- B ---
Below is crystalline NaTmTlIn at its relaxed geometry, with properties calculated at the PBE level.

The structure belongs to space group Pmmm (No. 47); the cell edges are 3.7792, 5.2379 and 5.2625 Å and the angles 90.00°, 90.00° and 90.00°. Symmetry generates all atoms from Na at (0.0000, 0.0000, 0.0000), Tm at (0.0000, 0.5000, 0.5000), Tl at (0.5000, 0.5000, 0.0000) and In at (0.5000, 0.0000, 0.5000).

The density of states at the Fermi level comes out at 0.5803 states/eV per atom.

---

Verdict on stability: A comes out at the bottom.

---

--- A ---
Below is crystalline NaY2In2 at its relaxed geometry, with properties calculated at the PBE level.

The structure belongs to space group P4/mbm (No. 127); the cell edges are 8.7961, 8.7961 and 3.7359 Å and the angles 90.00°, 90.00° and 90.00°. Symmetry generates all atoms from Na at (0.0000, 0.0000, 0.0000), Y at (0.1730, 0.3270, 0.5000) and In at (0.1248, 0.6248, 0.0000).

The density of states at the Fermi level comes out at 0.7756 states/eV per atom.

---

--- B ---
Below is crystalline NaY2In2 at its relaxed geometry, with properties calculated at the PBE level.

The structure belongs to space group I4/mmm (No. 139); the cell edges are 4.8354, 4.8354 and 13.9430 Å and the angles 90.00°, 90.00° and 90.00°. Symmetry generates all atoms from Na at (0.0000, 0.0000, 0.0000), Y at (0.0000, 0.5000, 0.2500) and In at (0.0000, 0.0000, 0.4005).

The density of states at the Fermi level comes out at 1.1993 states/eV per atom.

---

--- C ---
Below is crystalline NaY2In2 at its relaxed geometry, with properties calculated at the PBE level.

The structure belongs to space group P4/mbm (No. 127); the cell edges are 9.2953, 9.2953 and 3.4415 Å and the angles 90.00°, 90.00° and 90.00°. Symmetry generates all atoms from Na at (0.0000, 0.0000, 0.0000), Y at (0.1271, 0.3729, 0.0000) and In at (0.1732, 0.6732, 0.5000).

The density of states at the Fermi level comes out at 0.8591 states/eV per atom.

---

Verdict on stability: B comes out at the bottom.

---

--- A ---
Below is crystalline NaY3In at its relaxed geometry, with properties calculated at the PBE level.

The structure belongs to space group Pm-3m (No. 221); the cell edges are 5.4707, 5.4707 and 5.4707 Å and the angles 90.00°, 90.00° and 90.00°. Symmetry generates all atoms from Na at (0.0000, 0.0000, 0.0000), Y at (0.0000, 0.0000, 0.5000) and In at (0.5000, 0.5000, 0.5000).

The density of states at the Fermi level comes out at 1.4495 states/eV per atom.

---

--- B ---
Below is crystalline NaY3In at its relaxed geometry, with properties calculated at the PBE level.

The structure belongs to space group Pm-3m (No. 221); the cell edges are 5.8333, 5.8333 and 5.8333 Å and the angles 90.00°, 90.00° and 90.00°. Symmetry generates all atoms from Na at (0.0000, 0.0000, 0.0000), Y at (0.0000, 0.5000, 0.5000) and In at (0.5000, 0.5000, 0.5000).

The density of states at the Fermi level comes out at 1.1888 states/eV per atom.

---

Verdict on stability: A comes out at the bottom.

---

--- A ---
Below is crystalline Na2Zn2In3 at its relaxed geometry, with properties calculated at the PBE level.

The structure belongs to space group Cmcm (No. 63); the cell edges are 4.6987, 19.4494 and 7.8348 Å and the angles 90.00°, 90.00° and 90.00°. Symmetry generates all atoms from Na at (0.0000, 0.0504, 0.2500), Na at (0.0000, 0.1560, 0.7500), Zn at (0.0000, 0.3046, 0.5739), In at (0.0000, 0.2306, 0.2500) and In at (0.0000, 0.4320, 0.0664).

The density of states at the Fermi level comes out at 0.3949 states/eV per atom.

---

--- B ---
Below is crystalline Na2Zn2In3 at its relaxed geometry, with properties calculated at the PBE level.

The structure belongs to space group C2/m (No. 12); the cell edges are 11.3272, 4.5096 and 7.7160 Å and the angles 90.00°, 118.40° and 90.00°. Symmetry generates all atoms from Na at (0.1528, 0.0000, 0.2954), Zn at (0.1325, 0.0000, 0.7102), In at (0.0000, 0.5000, 0.5000) and In at (0.1196, 0.5000, 0.9535).

The density of states at the Fermi level comes out at 0.3828 states/eV per atom.

---

Verdict on stability: A comes out at the bottom.

---

--- A ---
Below is crystalline NaZnIn at its relaxed geometry, with properties calculated at the PBE level.

The structure belongs to space group F-43m (No. 216); the cell edges are 6.7372, 6.7372 and 6.7372 Å and the angles 90.00°, 90.00° and 90.00°. Symmetry generates all atoms from Na at (0.0000, 0.0000, 0.0000), Zn at (0.2500, 0.2500, 0.7500) and In at (0.0000, 0.0000, 0.5000).

The density of states at the Fermi level comes out at 0.6477 states/eV per atom.

---

--- B ---
Below is crystalline NaZnIn at its relaxed geometry, with properties calculated at the PBE level.

The structure belongs to space group C2/m (No. 12); the cell edges are 12.6331, 4.3681 and 5.5515 Å and the angles 90.00°, 103.32° and 90.00°. Symmetry generates all atoms from Na at (0.1257, 0.0000, 0.3288), Zn at (0.2174, 0.0000, 0.8777) and In at (0.0715, 0.5000, 0.7863).

The density of states at the Fermi level comes out at 0.3345 states/eV per atom.

---

--- C ---
Below is crystalline NaZnIn at its relaxed geometry, with properties calculated at the PBE level.

The structure belongs to space group I4mm (No. 107); the cell edges are 3.7334, 3.7334 and 10.4051 Å and the angles 90.00°, 90.00° and 90.00°. Symmetry generates all atoms from Na at (0.0000, 0.0000, 0.0000), Zn at (0.0000, 0.0000, 0.3138) and In at (0.0000, 0.0000, 0.6954).

The density of states at the Fermi level comes out at 0.2797 states/eV per atom.

---

Verdict on stability: A comes out at the bottom.

---

--- A ---
Below is crystalline NaZnIn at its relaxed geometry, with properties calculated at the PBE level.

The structure belongs to space group P-1 (No. 2); the cell edges are 5.2224, 5.2228 and 6.1860 Å and the angles 103.28°, 103.19° and 117.08°. Symmetry generates all atoms from Na at (0.1671, 0.3332, 0.0007), Zn at (0.2501, 0.2503, 0.5003) and In at (0.3567, 0.8568, 0.7144).

The density of states at the Fermi level comes out at 0.3434 states/eV per atom.

---

--- B ---
Below is crystalline NaZnIn at its relaxed geometry, with properties calculated at the PBE level.

The structure belongs to space group P-1 (No. 2); the cell edges are 3.2972, 4.8742 and 8.9500 Å and the angles 90.09°, 97.51° and 90.07°. Symmetry generates all atoms from Na at (0.0562, 0.0003, 0.1763), Zn at (0.5000, 0.0000, 0.5000), Zn at (0.5000, 0.5000, 0.0000) and In at (0.3491, 0.4996, 0.6619).

The density of states at the Fermi level comes out at 0.2835 states/eV per atom.

---

Verdict on stability: B comes out at the bottom.

---

--- A ---
Below is crystalline Na3ZnIn at its relaxed geometry, with properties calculated at the PBE level.

The structure belongs to space group Pm-3m (No. 221); the cell edges are 5.5420, 5.5420 and 5.5420 Å and the angles 90.00°, 90.00° and 90.00°. Symmetry generates all atoms from Na at (0.0000, 0.0000, 0.5000), Zn at (0.0000, 0.0000, 0.0000) and In at (0.5000, 0.5000, 0.5000).

The density of states at the Fermi level comes out at 0.4184 states/eV per atom.

---

--- B ---
Below is crystalline Na3ZnIn at its relaxed geometry, with properties calculated at the PBE level.

The structure belongs to space group Pm-3m (No. 221); the cell edges are 5.9734, 5.9734 and 5.9734 Å and the angles 90.00°, 90.00° and 90.00°. Symmetry generates all atoms from Na at (0.0000, 0.0000, 0.5000), Zn at (0.5000, 0.5000, 0.5000) and In at (0.0000, 0.0000, 0.0000).

The density of states at the Fermi level comes out at 0.6015 states/eV per atom.

---

--- C ---
Below is crystalline Na3ZnIn at its relaxed geometry, with properties calculated at the PBE level.

The structure belongs to space group C2/m (No. 12); the cell edges are 11.6334, 9.0188 and 7.7138 Å and the angles 90.00°, 130.89° and 90.00°. Symmetry generates all atoms from Na at (0.0520, 0.0000, 0.2819), Na at (0.2049, 0.3126, 0.1729), Zn at (0.2261, 0.5000, 0.8511) and In at (0.0765, 0.5000, 0.3858).

The density of states at the Fermi level comes out at 0.6001 states/eV per atom.

---

Verdict on stability: B comes out at the bottom.

---

--- A ---
Below is crystalline Na2Zn3In5 at its relaxed geometry, with properties calculated at the PBE level.

The structure belongs to space group Ibam (No. 72); the cell edges are 12.4517, 12.5226 and 6.3674 Å and the angles 90.00°, 90.00° and 90.00°. Symmetry generates all atoms from Na at (0.1394, 0.2329, 0.0000), Zn at (0.0000, 0.5000, 0.2500), Zn at (0.1291, 0.1365, 0.5000), In at (0.0000, 0.0000, 0.2500), In at (0.0987, 0.3459, 0.5000) and In at (0.2418, 0.5000, 0.2500).

The density of states at the Fermi level comes out at 0.4440 states/eV per atom.

---

--- B ---
Below is crystalline Na2Zn3In5 at its relaxed geometry, with properties calculated at the PBE level.

The structure belongs to space group Cmc2_1 (No. 36); the cell edges are 4.6410, 27.1246 and 7.5142 Å and the angles 90.00°, 90.00° and 90.00°. Symmetry generates all atoms from Na at (0.0000, 0.0206, 0.0000), Na at (0.0000, 0.3245, 0.0600), Zn at (0.0000, 0.1103, 0.7463), Zn at (0.0000, 0.2735, 0.5619), Zn at (0.0000, 0.4573, 0.7850), In at (0.0000, 0.0969, 0.3597), In at (0.0000, 0.2051, 0.2707), In at (0.0000, 0.2074, 0.8545), In at (0.0000, 0.3794, 0.5220) and In at (0.0000, 0.4454, 0.1708).

The density of states at the Fermi level comes out at 0.3472 states/eV per atom.

---

Verdict on stability: A comes out at the bottom.